Compound: HoAl2Fe2Si
Source: Alexandria
Functional: PBE
Structure: relaxed

```
6
Lattice="4.208 0.000 0.000 0.000 4.208 0.000 0.000 0.000 5.561" Properties=species:S:1:pos:R:3 pbc="T T T"
Ho 0.000 0.000 0.000
Al 2.104 2.104 1.355
Al 2.104 2.104 4.205
Fe 0.000 2.104 2.780
Fe 2.104 0.000 2.780
Si 0.000 0.000 2.780
```

As for the formation energy without anion corrections: -1.64 eV/f.u. The calculation puts the raw total energy at -0.442 Ry per atom. Its total magnetic moment is 0.118 μB per atom. Its density of states at the Fermi level is 5.0 states/eV/cell. The volume is 16.409 Å³/atom.

---

Compound: Ca2AcCd2Pb2
Source: Alexandria
Functional: PBE
Structure: relaxed

```
7
Lattice="2.606 1.504 9.104 -2.606 1.504 9.104 0.000 -3.009 9.104" Properties=species:S:1:pos:R:3 pbc="T T T"
Ca 0.000 0.000 3.736
Ca 0.000 0.000 23.576
Ac 0.000 0.000 0.000
Cd 0.000 0.000 11.991
Cd 0.000 0.000 15.321
Pb 0.000 0.000 7.170
Pb 0.000 0.000 20.141
```

The calculation puts the raw total energy at -0.208 Ry per atom. Its total magnetic moment is 0.000 μB per atom. Its density of states at the Fermi level is 2.9 states/eV/cell. The volume is 30.586 Å³/atom.

---

Compound: Ce2MgSi2Rh5
Source: Alexandria
Functional: PBE
Structure: relaxed

```
20
Lattice="9.929 0.000 0.000 0.000 9.929 0.000 0.000 0.000 3.521" Properties=species:S:1:pos:R:3 pbc="T T T"
Ce 1.753 3.212 0.000
Ce 3.212 8.177 0.000
Ce 6.717 1.753 0.000
Ce 8.177 6.717 0.000
Mg 0.000 0.000 0.000
Mg 4.965 4.965 0.000
Si 1.213 6.178 0.000
Si 3.751 1.213 0.000
Si 6.178 8.716 0.000
Si 8.716 3.751 0.000
Rh 0.000 4.965 1.761
Rh 0.687 7.749 1.761
Rh 2.180 0.687 1.761
Rh 2.785 5.652 1.761
Rh 4.277 2.785 1.761
Rh 4.965 0.000 1.761
Rh 5.652 7.145 1.761
Rh 7.145 4.277 1.761
Rh 7.749 9.242 1.761
Rh 9.242 2.180 1.761
```

As for the formation energy without anion corrections: -8.24 eV/f.u. The calculation puts the raw total energy at -0.509 Ry per atom. Its total magnetic moment is 0.106 μB per atom. Its density of states at the Fermi level is 19.4 states/eV/cell. The volume is 17.359 Å³/atom.

---

Compound: Be3ZnPt
Source: Alexandria
Functional: PBE
Structure: relaxed

```
5
Lattice="4.003 0.000 0.000 0.000 4.003 0.000 0.000 0.000 4.003" Properties=species:S:1:pos:R:3 pbc="T T T"
Be 0.000 0.000 2.002
Be 0.000 2.002 0.000
Be 2.002 0.000 0.000
Zn 0.000 0.000 0.000
Pt 2.002 2.002 2.002
```

The calculation puts the raw total energy at -0.220 Ry per atom. Its total magnetic moment is 0.000 μB per atom. Its density of states at the Fermi level is 1.6 states/eV/cell. The calculation puts the relative energy among the computed polymorphs at 443.3 meV per atom. The volume is 12.830 Å³/atom.

---

Compound: CsBaIn2Rh
Source: Alexandria
Functional: PBE
Structure: relaxed

```
5
Lattice="5.400 0.000 0.000 0.000 5.400 0.000 0.000 0.000 5.915" Properties=species:S:1:pos:R:3 pbc="T T T"
Cs 0.000 0.000 0.000
Ba 2.700 2.700 0.000
In 0.000 2.700 2.957
In 2.700 0.000 2.957
Rh 2.700 2.700 2.957
```

The calculation puts the raw total energy at -0.245 Ry per atom. Its total magnetic moment is 0.000 μB per atom. Its density of states at the Fermi level is 3.8 states/eV/cell. The volume is 34.499 Å³/atom.

---

Compound: NbHg2Pt3O12
Source: Alexandria
Functional: PBE
Structure: relaxed

```
18
Lattice="3.581 2.067 6.204 -3.581 2.067 6.204 0.000 -4.135 6.204" Properties=species:S:1:pos:R:3 pbc="T T T"
Nb 0.000 0.000 0.000
Hg 0.000 0.000 5.667
Hg 0.000 0.000 12.944
Pt -3.581 0.000 9.306
Pt -1.790 1.034 3.102
Pt 1.790 1.034 3.102
O -2.174 -1.255 8.721
O 0.000 -2.489 5.056
O -2.156 1.244 5.056
O -2.156 -1.244 13.556
O 0.000 -2.510 9.890
O -2.174 1.255 9.890
O 2.174 -1.255 8.721
O 0.000 2.510 8.721
O 2.156 1.244 5.056
O 2.156 -1.244 13.556
O 0.000 2.489 13.556
O 2.174 1.255 9.890
```

As for the formation energy without anion corrections: -10.75 eV/f.u. The calculation puts the raw total energy at -0.404 Ry per atom. Its total magnetic moment is 0.152 μB per atom. Its density of states at the Fermi level is 9.8 states/eV/cell. The volume is 15.308 Å³/atom.

---

Compound: ReIN
Source: Alexandria
Functional: PBE
Structure: relaxed

```
3
Lattice="3.023 -1.581 0.000 3.023 1.581 0.000 -0.317 0.000 6.111" Properties=species:S:1:pos:R:3 pbc="T T T"
Re 0.000 0.000 0.000
I 3.579 0.000 2.236
N 1.560 0.000 5.573
```

As for the formation energy without anion corrections: 1.78 eV/f.u. The calculation puts the raw total energy at -0.503 Ry per atom. Its total magnetic moment is 0.000 μB per atom. Its density of states at the Fermi level is 2.0 states/eV/cell. The calculation puts the relative energy among the computed polymorphs at 442.6 meV per atom. The volume is 19.469 Å³/atom.

---

Compound: ReNiP2
Source: Alexandria
Functional: PBE
Structure: relaxed

```
4
Lattice="1.498 -2.431 0.000 1.498 2.431 0.000 0.000 0.000 7.451" Properties=species:S:1:pos:R:3 pbc="T T T"
Re 0.000 0.000 0.000
Ni 0.000 0.000 3.725
P 1.498 0.000 1.919
P 1.498 0.000 5.531
```

The calculation puts the raw total energy at -0.511 Ry per atom. Its total magnetic moment is 0.000 μB per atom. Its density of states at the Fermi level is 4.1 states/eV/cell. The calculation puts the relative energy among the computed polymorphs at 565.9 meV per atom. The volume is 13.564 Å³/atom.

---

Question: total magnetic moment of number 1 (HoAl2Fe2Si)?
Answer: 0.118 μB per atom